Record 1
PBE CuSiSCl2, relaxed; SG = P4/mmm (123); excess energy over the best structure of this formula in the dataset = 0.0 meV per atom; formation energy (no corrections) = 0.12 eV per atom
1.0
4.6929 0.0000 0.0000
0.0000 4.6929 0.0000
0.0000 0.0000 4.6182
S Si Cu Cl
1 1 1 2
direct
0.0000 0.0000 0.5000
0.0000 0.0000 0.0000
0.5000 0.5000 0.5000
0.0000 0.5000 0.0000
0.5000 0.0000 0.0000

=====

Record 2
PBE NbIrW3, relaxed; SG = Pm-3m (221); excess energy over the best structure of this formula in the dataset = 0.0 meV per atom
1.0
-1.1412 -3.0045 3.4577
2.4314 -3.4173 -2.1670
3.8822 1.2570 2.3736
Nb Ir W
1 1 3
direct
0.5000 0.5000 0.5000
0.0000 0.0000 0.0000
0.0000 0.5000 0.0000
0.0000 0.0000 0.5000
0.5000 0.0000 0.0000

=====

Number 1: N(E_F) 1.26 states/eV/cell, volume 101.71 Å³/cell, calculated total energy -0.1231 Ha/atom. Number 2: N(E_F) 4.81 states/eV/cell, volume 105.20 Å³/cell, calculated total energy -0.3576 Ha/atom.